Here is a relaxed structure of La6AlCu5 from Alexandria via LeMat-Bulk. Energies are from PBE.

a = 8.2485 Å, b = 8.2485 Å, c = 7.4235 Å
α = 90.00°, β = 90.00°, γ = 143.68°
Closest atoms and distances in Å follow each position.
Fractional coordinates of all 12 atoms:
La: 0.0000 0.0000 0.2341  6 Cu 3.04-3.15, 2 Al 3.24
La: 0.0000 0.0000 0.7659  6 Cu 3.04-3.15, 2 Al 3.24
La: 0.3282 0.6718 0.2527  7 Cu 3.14-3.37, 1 Al 3.26
La: 0.3282 0.6718 0.7473  7 Cu 3.14-3.37, 1 Al 3.26
La: 0.6718 0.3282 0.2527  7 Cu 3.14-3.37, 1 Al 3.26
La: 0.6718 0.3282 0.7473  7 Cu 3.14-3.37, 1 Al 3.26
Al: 0.5000 0.5000 0.5000  8 La 3.24-3.26, 4 Cu 3.46
Cu: 0.1478 0.8522 0.5000  8 La 3.04-3.37
Cu: 0.1672 0.8328 0.0000  8 La 3.14-3.18
Cu: 0.5000 0.5000 0.0000  8 La 3.10-3.28
Cu: 0.8328 0.1672 0.0000  8 La 3.14-3.18
Cu: 0.8522 0.1478 0.5000  8 La 3.04-3.37

## Properties
* SG: No. 65


Here is a relaxed structure of Rb2Ca4Mg from Alexandria via LeMat-Bulk. Energies are from PBE.

a = 11.3517 Å, b = 11.3517 Å, c = 11.3517 Å
α = 147.99°, β = 147.99°, γ = 45.90°
Closest atoms and distances in Å follow each position.
Fractional coordinates of all 7 atoms:
Rb: 0.1476 0.1476 0.0000  9 Ca 4.26-4.43
Rb: 0.8524 0.8524 0.0000  9 Ca 4.26-4.43
Ca: 0.0000 0.5000 0.5000  2 Mg 3.13
Ca: 0.3516 0.3516 0.0000  1 Mg 3.10
Ca: 0.5000 0.0000 0.5000  2 Mg 3.13
Ca: 0.6484 0.6484 0.0000  1 Mg 3.10
Mg: 0.5000 0.5000 0.0000  6 Ca 3.10-3.13

## Properties
* SG: No. 139


Here is a relaxed structure of Na5Sm3Br12 from Alexandria via LeMat-Bulk. Energies are from PBE.

a = 14.8494 Å, b = 14.8494 Å, c = 14.8494 Å
α = 109.47°, β = 109.47°, γ = 109.47°
Closest atoms and distances in Å follow each position.
Fractional coordinates of all 80 atoms:
Na: 0.0000 0.0000 0.0000  6 Br 2.93
Na: 0.0000 0.0000 0.5000  6 Br 2.93
Na: 0.0000 0.5000 0.0000  6 Br 2.93
Na: 0.0000 0.5000 0.5000  6 Br 2.93
Na: 0.1250 0.7500 0.8750  4 Br 2.72
Na: 0.1250 0.8750 0.2500  4 Br 2.72
Na: 0.2500 0.1250 0.8750  4 Br 2.72
Na: 0.2500 0.6250 0.3750  4 Br 2.72
Na: 0.3750 0.2500 0.6250  4 Br 2.72
Na: 0.3750 0.6250 0.7500  4 Br 2.72
Na: 0.5000 0.0000 0.0000  6 Br 2.93
Na: 0.5000 0.0000 0.5000  6 Br 2.93
Na: 0.5000 0.5000 0.0000  6 Br 2.93
Na: 0.5000 0.5000 0.5000  6 Br 2.93
Na: 0.6250 0.3750 0.2500  4 Br 2.72
Na: 0.6250 0.7500 0.3750  4 Br 2.72
Na: 0.7500 0.3750 0.6250  4 Br 2.72
Na: 0.7500 0.8750 0.1250  4 Br 2.72
Na: 0.8750 0.1250 0.7500  4 Br 2.72
Na: 0.8750 0.2500 0.1250  4 Br 2.72
Sm: 0.1250 0.2500 0.3750  8 Br 3.13-3.23
Sm: 0.1250 0.3750 0.7500  8 Br 3.13-3.23
Sm: 0.2500 0.3750 0.1250  8 Br 3.13-3.23
Sm: 0.2500 0.8750 0.6250  8 Br 3.13-3.23
Sm: 0.3750 0.1250 0.2500  8 Br 3.13-3.23
Sm: 0.3750 0.7500 0.1250  8 Br 3.13-3.23
Sm: 0.6250 0.2500 0.8750  8 Br 3.13-3.23
Sm: 0.6250 0.8750 0.7500  8 Br 3.13-3.23
Sm: 0.7500 0.1250 0.3750  8 Br 3.13-3.23
Sm: 0.7500 0.6250 0.8750  8 Br 3.13-3.23
Sm: 0.8750 0.6250 0.2500  8 Br 3.13-3.23
Sm: 0.8750 0.7500 0.6250  8 Br 3.13-3.23
Br: 0.0505 0.2248 0.1333  2 Na 2.72-2.93
Br: 0.0505 0.3257 0.9171  2 Na 2.72-2.93
Br: 0.0829 0.6333 0.4086  2 Na 2.72-2.93
Br: 0.0829 0.9495 0.6743  2 Na 2.72-2.93
Br: 0.0914 0.7248 0.6743  2 Na 2.72-2.93
Br: 0.0914 0.8667 0.4171  2 Na 2.72-2.93
Br: 0.1333 0.0505 0.2248  2 Na 2.72-2.93
Br: 0.1333 0.5829 0.9086  2 Na 2.72-2.93
Br: 0.1743 0.2248 0.5914  2 Na 2.72-2.93
Br: 0.1743 0.4495 0.5829  2 Na 2.72-2.93
Br: 0.2248 0.1333 0.0505  2 Na 2.72-2.93
Br: 0.2248 0.5914 0.1743  2 Na 2.72-2.93
Br: 0.2752 0.3257 0.9086  2 Na 2.72-2.93
Br: 0.2752 0.4495 0.3667  2 Na 2.72-2.93
Br: 0.3257 0.9086 0.2752  2 Na 2.72-2.93
Br: 0.3257 0.9171 0.0505  2 Na 2.72-2.93
Br: 0.3667 0.2752 0.4495  2 Na 2.72-2.93
Br: 0.3667 0.5914 0.9171  2 Na 2.72-2.93
Br: 0.4086 0.0829 0.6333  2 Na 2.72-2.93
Br: 0.4086 0.8257 0.7752  2 Na 2.72-2.93
Br: 0.4171 0.0914 0.8667  2 Na 2.72-2.93
Br: 0.4171 0.8257 0.5505  2 Na 2.72-2.93
Br: 0.4495 0.3667 0.2752  2 Na 2.72-2.93
Br: 0.4495 0.5829 0.1743  2 Na 2.72-2.93
Br: 0.5505 0.4171 0.8257  2 Na 2.72-2.93
Br: 0.5505 0.6333 0.7248  2 Na 2.72-2.93
Br: 0.5829 0.1743 0.4495  2 Na 2.72-2.93
Br: 0.5829 0.9086 0.1333  2 Na 2.72-2.93
Br: 0.5914 0.1743 0.2248  2 Na 2.72-2.93
Br: 0.5914 0.9171 0.3667  2 Na 2.72-2.93
Br: 0.6333 0.4086 0.0829  2 Na 2.72-2.93
Br: 0.6333 0.7248 0.5505  2 Na 2.72-2.93
Br: 0.6743 0.0829 0.9495  2 Na 2.72-2.93
Br: 0.6743 0.0914 0.7248  2 Na 2.72-2.93
Br: 0.7248 0.5505 0.6333  2 Na 2.72-2.93
Br: 0.7248 0.6743 0.0914  2 Na 2.72-2.93
Br: 0.7752 0.4086 0.8257  2 Na 2.72-2.93
Br: 0.7752 0.8667 0.9495  2 Na 2.72-2.93
Br: 0.8257 0.5505 0.4171  2 Na 2.72-2.93
Br: 0.8257 0.7752 0.4086  2 Na 2.72-2.93
Br: 0.8667 0.4171 0.0914  2 Na 2.72-2.93
Br: 0.8667 0.9495 0.7752  2 Na 2.72-2.93
Br: 0.9086 0.1333 0.5829  2 Na 2.72-2.93
Br: 0.9086 0.2752 0.3257  2 Na 2.72-2.93
Br: 0.9171 0.0505 0.3257  2 Na 2.72-2.93
Br: 0.9171 0.3667 0.5914  2 Na 2.72-2.93
Br: 0.9495 0.6743 0.0829  2 Na 2.72-2.93
Br: 0.9495 0.7752 0.8667  2 Na 2.72-2.93

## Properties
* SG: No. 230


Here is a relaxed structure of MgTl2H2 from Alexandria via LeMat-Bulk. Energies are from PBE.

a = 5.1217 Å, b = 5.1217 Å, c = 5.1217 Å
α = 119.25°, β = 119.25°, γ = 91.30°
Closest atoms and distances in Å follow each position.
Fractional coordinates of all 5 atoms:
Mg: 0.0000 0.0000 0.0000  8 Tl 3.15, 2 H 3.20
Tl: 0.2500 0.7500 0.5000  4 H 2.95, 4 Mg 3.15
Tl: 0.7500 0.2500 0.5000  4 H 2.95, 4 Mg 3.15
H: 0.4466 0.4466 0.0000  1 H 0.77
H: 0.5534 0.5534 0.0000  1 H 0.77

## Properties
* SG: No. 139


Here is a relaxed structure of GeBSe2 from Alexandria via LeMat-Bulk. Energies are from PBE.

a = 7.4582 Å, b = 7.4582 Å, c = 7.4582 Å
α = 31.80°, β = 31.80°, γ = 31.80°
Closest atoms and distances in Å follow each position.
Fractional coordinates of all 4 atoms:
Ge: 0.0000 0.0000 0.0000  6 Se 2.90
B: 0.5000 0.5000 0.5000  2 Se 1.85
Se: 0.4127 0.4127 0.4127  1 B 1.85
Se: 0.5873 0.5873 0.5873  1 B 1.85

## Properties
* SG: No. 166


Here is a relaxed structure of Ho2NbTl from Alexandria via LeMat-Bulk. Energies are from PBE.

a = 11.5082 Å, b = 11.5082 Å, c = 11.5082 Å
α = 16.30°, β = 16.30°, γ = 16.30°
Closest atoms and distances in Å follow each position.
Fractional coordinates of all 4 atoms:
Ho: 0.0862 0.0862 0.0862  1 Nb 2.94, 6 Ho 3.26
Ho: 0.9138 0.9138 0.9138  1 Nb 2.94, 6 Ho 3.26
Nb: 0.0000 0.0000 0.0000  2 Ho 2.94, 6 Nb 3.26
Tl: 0.5000 0.5000 0.5000  6 Tl 3.26, 6 Ho 3.33

## Properties
* SG: No. 166


Here is a relaxed structure of SnPtF3 from Alexandria via LeMat-Bulk. Energies are from PBE.

a = 4.4104 Å, b = 4.4104 Å, c = 4.4104 Å
α = 90.00°, β = 90.00°, γ = 90.00°
Closest atoms and distances in Å follow each position.
Fractional coordinates of all 5 atoms:
Sn: 0.0000 0.0000 0.0000  6 F 2.21
Pt: 0.5000 0.5000 0.5000  12 F 3.12
F: 0.0000 0.0000 0.5000  2 Sn 2.21
F: 0.0000 0.5000 0.0000  2 Sn 2.21
F: 0.5000 0.0000 0.0000  2 Sn 2.21

## Properties
* SG: No. 221


Here is a relaxed structure of Pm2AsRu from Alexandria via LeMat-Bulk. Energies are from PBE.

a = 3.6654 Å, b = 3.6654 Å, c = 6.8099 Å
α = 90.00°, β = 90.00°, γ = 90.00°
Closest atoms and distances in Å follow each position.
Fractional coordinates of all 4 atoms:
Pm: 0.0000 0.0000 0.2487  4 Ru 3.10, 4 As 3.11, 2 Pm 3.39-3.42
Pm: 0.0000 0.0000 0.7513  4 Ru 3.10, 4 As 3.11, 2 Pm 3.39-3.42
As: 0.5000 0.5000 0.5000  8 Pm 3.11, 2 Ru 3.40
Ru: 0.5000 0.5000 0.0000  8 Pm 3.10, 2 As 3.40

## Properties
* SG: No. 123


Here is a relaxed structure of SrZnSi2Pt5 from Alexandria via LeMat-Bulk. Energies are from PBE.

a = 4.1217 Å, b = 4.1217 Å, c = 10.3170 Å
α = 90.00°, β = 90.00°, γ = 90.00°
Closest atoms and distances in Å follow each position.
Fractional coordinates of all 9 atoms:
Sr: 0.0000 0.0000 0.0000  4 Pt 2.91
Zn: 0.0000 0.0000 0.5000  8 Pt 2.62
Si: 0.5000 0.5000 0.2282  5 Pt 2.35-2.38
Si: 0.5000 0.5000 0.7718  5 Pt 2.35-2.38
Pt: 0.0000 0.5000 0.3439  2 Si 2.38, 2 Zn 2.62
Pt: 0.0000 0.5000 0.6561  2 Si 2.38, 2 Zn 2.62
Pt: 0.5000 0.0000 0.3439  2 Si 2.38, 2 Zn 2.62
Pt: 0.5000 0.0000 0.6561  2 Si 2.38, 2 Zn 2.62
Pt: 0.5000 0.5000 0.0000  2 Si 2.35

## Properties
* SG: No. 123


Here is a relaxed structure of NaNd4Y3Te8 from Alexandria via LeMat-Bulk. Energies are from PBE.

a = 8.9165 Å, b = 8.9165 Å, c = 8.9165 Å
α = 59.64°, β = 59.64°, γ = 59.64°
Closest atoms and distances in Å follow each position.
Fractional coordinates of all 16 atoms:
Na: 0.0000 0.0000 0.0000  6 Te 3.10
Nd: 0.0000 0.0000 0.5000  6 Te 3.19
Nd: 0.0000 0.5000 0.0000  6 Te 3.19
Nd: 0.5000 0.0000 0.0000  6 Te 3.19
Nd: 0.5000 0.5000 0.5000  6 Te 3.19
Y: 0.0000 0.5000 0.5000  6 Te 3.10
Y: 0.5000 0.0000 0.5000  6 Te 3.10
Y: 0.5000 0.5000 0.0000  6 Te 3.10
Te: 0.2462 0.2462 0.7464  1 Na 3.10, 2 Y 3.10, 3 Nd 3.19
Te: 0.2462 0.7464 0.2462  1 Na 3.10, 2 Y 3.10, 3 Nd 3.19
Te: 0.2536 0.2536 0.2536  3 Y 3.10, 3 Nd 3.19
Te: 0.2536 0.7538 0.7538  1 Na 3.10, 2 Y 3.10, 3 Nd 3.19
Te: 0.7464 0.2462 0.2462  1 Na 3.10, 2 Y 3.10, 3 Nd 3.19
Te: 0.7464 0.7464 0.7464  3 Y 3.10, 3 Nd 3.19
Te: 0.7538 0.2536 0.7538  1 Na 3.10, 2 Y 3.10, 3 Nd 3.19
Te: 0.7538 0.7538 0.2536  1 Na 3.10, 2 Y 3.10, 3 Nd 3.19

## Properties
* SG: No. 166


What total energy values result from the calculations? In sequence: -55.78, -9.22, -281.89, -12.34, -16.54, -19.75, -20.13, -25.78, -50.22, -86.79 eV for the cell shown.